(1)
DFT (meta-GGA SCAN) results for a crystal of K3LaH relaxed with PBEsol.

## Properties
Space group: Pm-3m, No. 221
DOS(E_F) in states/eV/atom: 1.06
Energy in eV per cell: -69.55
Magnetic moment in μB/cell: 3.25

a = 5.869 Å, b = 5.869 Å, c = 5.869 Å
α = 90.00°, β = 90.00°, γ = 90.00°
Sites, in units of the cell vectors:
K 0.500 0.000 0.000
K 0.000 0.000 0.500
K 0.000 0.500 0.000
H 0.000 0.000 0.000
La 0.500 0.500 0.500


(2)
DFT (meta-GGA SCAN) results for a crystal of BaMoP3 relaxed with PBEsol.

## Properties
Space group: Pm-3m, No. 221
DOS(E_F) in states/eV/atom: 0.35
Formation enthalpy at 0 K in kJ per mole of atoms: -37.6
Energy in eV per cell: -107.58
Magnetic moment in μB/cell: 0.00

a = 4.756 Å, b = 4.756 Å, c = 4.756 Å
α = 90.00°, β = 90.00°, γ = 90.00°
Sites, in units of the cell vectors:
P 0.500 0.000 0.000
P 0.000 0.500 0.000
P 0.000 0.000 0.500
Ba 0.500 0.500 0.500
Mo 0.000 0.000 0.000


(3)
DFT (meta-GGA SCAN) results for a crystal of Tc5Os relaxed with PBEsol.

## Properties
Space group: P-62m, No. 189
Energy above the lowest structure with this stoichiometry in meV/atom: 0
DOS(E_F) in states/eV/atom: 0.81
Formation enthalpy at 0 K in kJ per mole of atoms: -5.2
Energy in eV per cell: -247.50
Magnetic moment in μB/cell: 0.00

a = 4.335 Å, b = 4.718 Å, c = 4.718 Å
α = 120.00°, β = 90.00°, γ = 90.00°
Sites, in units of the cell vectors:
Tc 0.000 0.000 0.667
Tc 0.000 0.667 0.000
Tc 0.500 0.333 0.667
Tc 0.500 0.667 0.333
Os 0.500 0.000 0.000
Tc 0.000 0.333 0.333


(4)
DFT (meta-GGA SCAN) results for a crystal of Rb2SbH relaxed with PBEsol.

## Properties
Space group: I-42d, No. 122
DOS(E_F) in states/eV/atom: 0.43
Energy in eV per cell: -164.00
Magnetic moment in μB/cell: 4.02

a = 7.244 Å, b = 7.244 Å, c = 7.244 Å
α = 112.30°, β = 108.08°, γ = 108.08°
Sites, in units of the cell vectors:
H 0.000 0.500 0.500
Sb 0.000 0.000 0.000
Rb 0.411 0.875 0.786
Rb 0.089 0.214 0.625
Rb 0.911 0.536 0.125
Sb 0.500 0.750 0.250
H 0.500 0.250 0.750
Rb 0.589 0.375 0.464


(5)
DFT (meta-GGA SCAN) results for a crystal of Sc2TlPb relaxed with PBEsol.

## Properties
Space group: I4/mmm, No. 139
Energy above the lowest structure with this stoichiometry in meV/atom: 22
DOS(E_F) in states/eV/atom: 0.64
Formation enthalpy at 0 K in kJ per mole of atoms: -48.2
Energy in eV per cell: -178.61
Magnetic moment in μB/cell: 1.20

a = 4.633 Å, b = 5.359 Å, c = 4.633 Å
α = 64.39°, β = 90.00°, γ = 115.61°
Sites, in units of the cell vectors:
Tl 0.500 0.000 0.500
Sc 0.250 0.500 0.250
Sc 0.750 0.500 0.750
Pb 0.000 0.000 0.000


(6)
DFT (meta-GGA SCAN) results for a crystal of Tl2PbCl relaxed with PBEsol.

## Properties
Space group: Imm2, No. 44
Energy above the lowest structure with this stoichiometry in meV/atom: 74
DOS(E_F) in states/eV/atom: 0.41
Uncorrected formation energy in meV per atom: -340
Energy in eV per cell: -229.84
Magnetic moment in μB/cell: 0.00

a = 3.557 Å, b = 5.451 Å, c = 6.524 Å
α = 114.69°, β = 105.82°, γ = 90.00°
Sites, in units of the cell vectors:
Tl 0.999 0.999 0.997
Tl 0.767 0.267 0.534
Cl 0.503 0.503 0.006
Pb 0.232 0.732 0.463


(7)
DFT (meta-GGA SCAN) results for a crystal of LiV2P4H2O16 relaxed with PBEsol.

## Properties
Space group: P-1, No. 2
Energy above the lowest structure with this stoichiometry in meV/atom: 5
DOS(E_F) in states/eV/atom: 0.21
Energy in eV per cell: -485.01
Magnetic moment in μB/cell: 2.00

a = 7.634 Å, b = 9.126 Å, c = 9.199 Å
α = 116.39°, β = 102.56°, γ = 101.68°
Sites, in units of the cell vectors:
O 0.660 0.626 0.681
V 0.010 0.001 0.502
O 0.655 0.125 0.181
O 0.363 0.183 0.010
O 0.176 0.027 0.694
P 0.227 0.001 0.853
V 0.991 0.501 0.997
H 0.995 0.001 0.003
O 0.340 0.875 0.818
O 0.046 0.934 0.878
O 0.163 0.437 0.877
H 0.005 0.500 0.496
O 0.954 0.568 0.621
P 0.735 0.105 0.756
P 0.262 0.896 0.240
O 0.125 0.736 0.068
Li 0.351 0.409 0.039
O 0.186 0.522 0.189
P 0.774 0.501 0.645
O 0.680 0.446 0.278
O 0.814 0.980 0.310
P 0.768 0.996 0.146
O 0.673 0.949 0.780
O 0.370 0.681 0.514
V 0.500 0.251 0.249
O 0.630 0.821 0.984
O 0.440 0.364 0.823
O 0.446 0.871 0.314
O 0.837 0.065 0.622
O 0.156 0.935 0.372
Li 0.649 0.093 0.460
O 0.321 0.055 0.221
P 0.232 0.506 0.353
P 0.738 0.606 0.259
O 0.554 0.631 0.185
O 0.560 0.138 0.676
O 0.327 0.553 0.719
O 0.126 0.237 0.569
V 0.500 0.751 0.749
P 0.266 0.397 0.743
O 0.874 0.265 0.930
O 0.050 0.436 0.377
O 0.825 0.475 0.805
O 0.346 0.377 0.318
O 0.637 0.319 0.489
H 0.500 0.251 0.749
O 0.844 0.567 0.127
H 0.500 0.751 0.250
O 0.875 0.766 0.431
O 0.950 0.065 0.122


(8)
DFT (meta-GGA SCAN) results for a crystal of Sc4CdAu relaxed with PBEsol.

## Properties
Space group: F-43m, No. 216
DOS(E_F) in states/eV/atom: 0.80
Formation enthalpy at 0 K in kJ per mole of atoms: 11.9
Energy in eV per cell: -155.78
Magnetic moment in μB/cell: 0.00

a = 5.616 Å, b = 5.616 Å, c = 5.616 Å
α = 60.00°, β = 60.00°, γ = 60.00°
Sites, in units of the cell vectors:
Sc 0.375 0.375 0.874
Au 0.750 0.750 0.750
Sc 0.375 0.874 0.375
Cd 0.000 0.000 0.000
Sc 0.874 0.375 0.375
Sc 0.375 0.375 0.375